BaZn2Te2 | meta-GGA SCAN | PBEsol geometry

Cell lengths 5.0496, 5.0496, 6.6693 Å; angles 112.25, 112.25, 90.00 degrees
Last column: nearest neighbours and their distance in Å.
Element x y z (fractional)
Te (0.3433, 0.3433, 0.6866)  4 Zn 2.73
Zn (0.7500, 0.2500, 0.5000)  4 Te 2.73
Ba (0.0000, 0.0000, 0.0000)  8 Zn 3.78, 10 Te 3.87-3.98
Te (0.6567, 0.6567, 0.3134)  4 Zn 2.73
Zn (0.2500, 0.7500, 0.5000)  4 Te 2.73

Values from the calculation:
Energy relative to the elements, uncorrected: -0.563 eV/atom
V: 143.6 Å³ per cell
Symmetry: No. 139
Calculated density: 6.1 g/cm³

---

Ba2ZnTe3 | meta-GGA SCAN | PBEsol geometry

Cell lengths 4.6411, 9.6405, 18.7429 Å; angles 90.00, 90.00, 90.00 degrees
Last column: nearest neighbours and their distance in Å.
Element x y z (fractional)
Ba (0.7500, 0.0833, 0.2108)  7 Te 3.45-3.61, 2 Zn 3.79
Te (0.7500, 0.9942, 0.3978)  2 Zn 2.74
Ba (0.7500, 0.2555, 0.9571)  7 Te 3.40-3.64
Te (0.2500, 0.0058, 0.6022)  2 Zn 2.74
Te (0.7500, 0.1834, 0.7760)  1 Zn 2.65
Zn (0.2500, 0.8586, 0.3636)  4 Te 2.64-2.74
Zn (0.7500, 0.6414, 0.8636)  4 Te 2.64-2.74
Te (0.2500, 0.1182, 0.0692)  1 Zn 2.64
Te (0.7500, 0.3818, 0.5692)  1 Zn 2.64
Ba (0.2500, 0.4167, 0.7108)  7 Te 3.45-3.61, 2 Zn 3.79
Zn (0.7500, 0.1414, 0.6364)  4 Te 2.64-2.74
Te (0.2500, 0.3166, 0.2760)  1 Zn 2.65
Ba (0.2500, 0.7445, 0.0429)  7 Te 3.40-3.64
Te (0.2500, 0.6182, 0.4308)  1 Zn 2.64
Te (0.7500, 0.8818, 0.9308)  1 Zn 2.64
Te (0.2500, 0.8166, 0.2240)  1 Zn 2.65
Te (0.2500, 0.5058, 0.8978)  2 Zn 2.74
Ba (0.2500, 0.9167, 0.7892)  7 Te 3.45-3.61, 2 Zn 3.79
Te (0.7500, 0.4942, 0.1022)  2 Zn 2.74
Ba (0.7500, 0.5833, 0.2892)  7 Te 3.45-3.61, 2 Zn 3.79
Te (0.7500, 0.6834, 0.7240)  1 Zn 2.65
Zn (0.2500, 0.3586, 0.1364)  4 Te 2.64-2.74
Ba (0.2500, 0.2445, 0.4571)  7 Te 3.40-3.64
Ba (0.7500, 0.7555, 0.5429)  7 Te 3.40-3.64

Values from the calculation:
Energy relative to the elements, uncorrected: -1.471 eV/atom
V: 838.6 Å³ per cell
Symmetry: No. 62
Calculated density: 5.7 g/cm³

---

BaZr2Te | meta-GGA SCAN | PBEsol geometry

Cell lengths 3.8982, 5.3931, 5.5009 Å; angles 90.00, 94.14, 90.00 degrees
Last column: nearest neighbours and their distance in Å.
Element x y z (fractional)
Zr (0.8945, 0.0000, 0.7260)  1 Zr 2.67
Ba (0.5000, 0.5000, 0.0000)  4 Te 3.25-3.48, 4 Zr 3.50
Zr (0.1055, 0.0000, 0.2740)  1 Zr 2.67
Te (0.0000, 0.5000, 0.5000)  4 Zr 3.01, 2 Ba 3.25

Values from the calculation:
Energy relative to the elements, uncorrected: 0.001 eV/atom
V: 115.3 Å³ per cell
Symmetry: No. 10
Calculated density: 6.4 g/cm³

---

Ba2ZrTe | meta-GGA SCAN | PBEsol geometry

Cell lengths 4.9285, 4.9285, 6.4111 Å; angles 112.60, 112.60, 90.00 degrees
Last column: nearest neighbours and their distance in Å.
Element x y z (fractional)
Te (0.0000, 0.0000, 0.0000)  4 Zr 3.49, 8 Ba 3.65
Zr (0.5000, 0.5000, 0.0000)  4 Te 3.49, 8 Ba 3.65
Ba (0.2500, 0.7500, 0.5000)  4 Ba 3.49, 4 Zr 3.65, 4 Te 3.65
Ba (0.7500, 0.2500, 0.5000)  4 Ba 3.49, 4 Zr 3.65, 4 Te 3.65

Values from the calculation:
Energy relative to the elements, uncorrected: -0.099 eV/atom
V: 130.7 Å³ per cell
Symmetry: No. 139
Calculated density: 6.3 g/cm³

---

BaZrTe | meta-GGA SCAN | PBEsol geometry

Cell lengths 5.4911, 5.4911, 5.4911 Å; angles 60.00, 60.00, 60.00 degrees
Last column: nearest neighbours and their distance in Å.
Element x y z (fractional)
Zr (0.5000, 0.5000, 0.5000)  4 Ba 3.36
Te (0.0000, 0.0000, 0.0000)  4 Ba 3.36
Ba (0.2500, 0.2500, 0.2500)  4 Zr 3.36, 4 Te 3.36

Values from the calculation:
Energy relative to the elements, uncorrected: 0.372 eV/atom
V: 117.1 Å³ per cell
Symmetry: No. 216
Calculated density: 5.1 g/cm³

---

BaZr4Te | meta-GGA SCAN | PBEsol geometry

Cell lengths 6.0100, 6.0100, 6.0100 Å; angles 60.00, 60.00, 60.00 degrees
Last column: nearest neighbours and their distance in Å.
Element x y z (fractional)
Zr (0.3777, 0.8669, 0.3777)  6 Zr 2.94-3.07
Ba (0.7500, 0.7500, 0.7500)  12 Zr 3.52, 4 Te 3.68
Te (0.0000, 0.0000, 0.0000)  12 Zr 3.53, 4 Ba 3.68
Zr (0.3777, 0.3777, 0.8669)  6 Zr 2.94-3.07
Zr (0.8669, 0.3777, 0.3777)  6 Zr 2.94-3.07
Zr (0.3777, 0.3777, 0.3777)  6 Zr 2.94-3.07

Values from the calculation:
Energy relative to the elements, uncorrected: 0.466 eV/atom
V: 153.5 Å³ per cell
Symmetry: No. 216
Calculated density: 6.8 g/cm³

---

BaZr2Te | meta-GGA SCAN | PBEsol geometry

Cell lengths 3.7354, 5.3815, 6.2715 Å; angles 115.40, 107.31, 90.03 degrees
Last column: nearest neighbours and their distance in Å.
Element x y z (fractional)
Zr (0.0000, 0.0000, 0.5000)  2 Te 3.14, 2 Ba 3.14, 4 Zr 3.27-3.28
Te (0.5000, 0.5000, 0.0000)  4 Zr 3.14, 4 Ba 3.27-3.28
Ba (0.0000, 0.0000, 0.0000)  4 Zr 3.14, 4 Te 3.27-3.28
Zr (0.5000, 0.5000, 0.5000)  2 Ba 3.14, 2 Te 3.14, 4 Zr 3.27-3.28

Values from the calculation:
Energy relative to the elements, uncorrected: 0.092 eV/atom
V: 107.5 Å³ per cell
Symmetry: No. 12
Calculated density: 6.9 g/cm³

---

BaZrTe | meta-GGA SCAN | PBEsol geometry

Cell lengths 5.0792, 5.0792, 5.0792 Å; angles 60.00, 60.00, 60.00 degrees
Last column: nearest neighbours and their distance in Å.
Element x y z (fractional)
Te (0.5000, 0.5000, 0.5000)  4 Zr 3.11
Zr (0.2500, 0.2500, 0.2500)  4 Te 3.11, 4 Ba 3.11
Ba (0.0000, 0.0000, 0.0000)  4 Zr 3.11

Values from the calculation:
Energy relative to the elements, uncorrected: 0.034 eV/atom
V: 92.7 Å³ per cell
Symmetry: No. 216
Calculated density: 6.4 g/cm³